The following is a GGA-PBEsol calculation of a relaxed structure of Ba2TiOsPb, from Alexandria.

Unit cell a=5.166 b=6.409 c=6.409 alpha=90.00 beta=90.00 gamma=90.00
Last column: magnetic moment on the atom in μB.
Fractional coordinates of all 5 atoms:
Pb 0.000 0.000 0.000  -0.01
Os 0.500 0.500 0.500  2.06
Ba 0.000 0.000 0.500  -0.03
Ba 0.000 0.500 0.000  -0.03
Ti 0.500 0.000 0.000  1.28

Results
The space group is P4/mmm (123). The calculation puts the total energy at -0.1518 Ha/atom. The value obtained for the density is 5.635 Mg/m³.